Material: Li2Ac2In5
Method: DFT, PBE-GGA
State: relaxed

```
data_Li2Ac2In5
_cell_length_a 4.9138
_cell_length_b 4.9138
_cell_length_c 10.2179
_cell_angle_alpha 90.00
_cell_angle_beta 90.00
_cell_angle_gamma 90.00
_space_group_name_H-M_alt 'P 4/m m m'
_space_group_IT_number 123
_space_group_name_Hall '-P 4 2'
loop_
_atom_site_label
_atom_site_type_symbol
_atom_site_fract_x
_atom_site_fract_y
_atom_site_fract_z
Li1 Li 0.0000 0.0000 0.1277
Ac1 Ac 0.5000 0.5000 0.0000
Ac2 Ac 0.5000 0.5000 0.5000
In1 In 0.0000 0.0000 0.5000
In2 In 0.0000 0.5000 0.2560
```


Material: LuH3
Method: DFT, PBE-GGA
State: relaxed

```
data_LuH3
_cell_length_a 3.1966
_cell_length_b 3.1966
_cell_length_c 3.1966
_cell_angle_alpha 90.00
_cell_angle_beta 90.00
_cell_angle_gamma 90.00
_space_group_name_H-M_alt 'P m -3 m'
_space_group_IT_number 221
_space_group_name_Hall '-P 4 2 3'
loop_
_atom_site_label
_atom_site_type_symbol
_atom_site_fract_x
_atom_site_fract_y
_atom_site_fract_z
Lu1 Lu 0.0000 0.0000 0.0000
H1 H 0.0000 0.5000 0.5000
```


Material: PuCdH
Method: DFT, PBE-GGA
State: relaxed

```
data_PuCdH
_cell_length_a 3.1292
_cell_length_b 3.1292
_cell_length_c 11.7693
_cell_angle_alpha 90.00
_cell_angle_beta 90.00
_cell_angle_gamma 90.00
_space_group_name_H-M_alt 'I 4 m m'
_space_group_IT_number 107
_space_group_name_Hall 'I 4 -2'
loop_
_atom_site_label
_atom_site_type_symbol
_atom_site_fract_x
_atom_site_fract_y
_atom_site_fract_z
Pu1 Pu 0.0000 0.0000 0.0000
Cd1 Cd 0.0000 0.0000 0.2816
H1 H 0.0000 0.0000 0.5490
```


Material: ScBeC
Method: DFT, PBE-GGA
State: relaxed

```
data_ScBeC
_cell_length_a 3.1972
_cell_length_b 3.1972
_cell_length_c 3.4687
_cell_angle_alpha 90.00
_cell_angle_beta 90.00
_cell_angle_gamma 120.00
_space_group_name_H-M_alt 'P -6 m 2'
_space_group_IT_number 187
_space_group_name_Hall 'P -6 2'
loop_
_atom_site_label
_atom_site_type_symbol
_atom_site_fract_x
_atom_site_fract_y
_atom_site_fract_z
Sc1 Sc 0.0000 0.0000 0.0000
Be1 Be 0.3333 0.6667 0.5000
C1 C 0.6667 0.3333 0.5000
```


Material: Sc2CdNi
Method: DFT, PBE-GGA
State: relaxed

```
data_Sc2CdNi
_cell_length_a 3.4225
_cell_length_b 3.4225
_cell_length_c 24.6142
_cell_angle_alpha 90.00
_cell_angle_beta 90.00
_cell_angle_gamma 120.00
_space_group_name_H-M_alt 'R -3 m'
_space_group_IT_number 166
_space_group_name_Hall '-R 3 2"'
loop_
_atom_site_label
_atom_site_type_symbol
_atom_site_fract_x
_atom_site_fract_y
_atom_site_fract_z
Sc1 Sc 0.0000 0.0000 0.2343
Cd1 Cd 0.0000 0.0000 0.0000
Ni1 Ni 0.0000 0.0000 0.5000
```


Material: PaIn2Sn
Method: DFT, PBE-GGA
State: relaxed

```
data_PaIn2Sn
_cell_length_a 6.3802
_cell_length_b 7.8473
_cell_length_c 8.2594
_cell_angle_alpha 90.00
_cell_angle_beta 90.00
_cell_angle_gamma 90.00
_space_group_name_H-M_alt 'I m m a'
_space_group_IT_number 74
_space_group_name_Hall '-I 2b 2'
loop_
_atom_site_label
_atom_site_type_symbol
_atom_site_fract_x
_atom_site_fract_y
_atom_site_fract_z
Pa1 Pa 0.0000 0.2500 0.0577
In1 In 0.2500 0.0551 0.7500
Sn1 Sn 0.0000 0.2500 0.4452
```


We obtain VASP energy values of -3.186 -4.056 -6.195 -6.903 -5.026 -4.827 eV/atom for the records listed above, in that order.